i | DFT (PBE-GGA) results for crystalline SbC3S at its relaxed geometry.

Geometry as extended XYZ:
```
5
Lattice="-3.898 1.192 -1.283 1.069 -0.861 -4.046 -1.387 -4.012 0.487" Properties=species:S:1:pos:R:3 pbc="T T T"
Sb 0.000 0.000 0.000
S -2.108 -1.841 -2.421
C -0.693 -2.006 0.244
C -1.949 0.596 -0.642
C 0.535 -0.430 -2.023
```

Summary:
The density of states at the Fermi level comes out at 2.8 states/eV per cell. The calculated volume comes out at 78.0 Å³ per cell.



ii | DFT (PBE-GGA) results for crystalline SbC3S at its relaxed geometry.

Geometry as extended XYZ:
```
5
Lattice="3.762 0.000 0.000 0.000 3.762 0.000 0.000 0.000 3.762" Properties=species:S:1:pos:R:3 pbc="T T T"
S 0.000 0.000 0.000
C 0.000 0.000 1.881
C 1.881 0.000 0.000
C 0.000 1.881 0.000
Sb 1.881 1.881 1.881
```

Summary:
The density of states at the Fermi level comes out at 2.6 states/eV per cell. The calculated volume comes out at 53.2 Å³ per cell.



Which of them is most stable, and which least? Most stable: ii; least stable: i.



i | DFT (PBE-GGA) results for crystalline Sc4CS3 at its relaxed geometry.

Geometry as extended XYZ:
```
16
Lattice="-0.256 -4.130 -2.943 7.598 -0.378 -0.130 -0.124 -4.808 6.760" Properties=species:S:1:pos:R:3 pbc="T T T"
S 2.400 -3.734 0.087
S 6.328 -2.653 -1.772
S 2.342 -5.993 3.262
S 1.046 -2.726 3.171
S 4.909 -4.195 4.897
S 4.974 -1.645 1.312
Sc 5.008 -3.909 0.105
Sc 2.299 -4.110 5.004
Sc 4.952 -6.078 3.155
Sc 6.768 -0.604 -0.306
Sc 2.367 -1.471 1.294
Sc 1.205 -2.398 -1.684
Sc 6.169 -2.981 3.083
Sc 0.606 -4.776 1.705
C 6.038 -5.047 1.612
C 1.336 -0.334 -0.213
```

Summary:
The density of states at the Fermi level comes out at 10.3 states/eV per cell. The calculated volume comes out at 320.5 Å³ per cell.



ii | DFT (PBE-GGA) results for crystalline Sc4CS3 at its relaxed geometry.

Geometry as extended XYZ:
```
8
Lattice="-3.514 0.438 0.382 -1.006 -5.368 -3.107 0.509 -1.261 6.134" Properties=species:S:1:pos:R:3 pbc="T T T"
Sc -1.592 -1.973 4.230
Sc -0.390 -5.201 2.375
Sc -0.107 -1.427 0.652
Sc -2.420 -4.218 -0.822
S 0.254 -0.630 3.067
S -2.006 -3.095 1.704
S -0.503 -2.684 -1.554
C -1.757 0.219 0.191
```

Summary:
The density of states at the Fermi level comes out at 2.7 states/eV per cell. The calculated volume comes out at 133.0 Å³ per cell.



Which of them is most stable, and which least? Most stable: ii; least stable: i.



i | DFT (PBE-GGA) results for crystalline Sc3CS at its relaxed geometry.

Geometry as extended XYZ:
```
10
Lattice="3.286 0.087 0.000 -0.233 8.768 0.000 0.000 0.000 6.137" Properties=species:S:1:pos:R:3 pbc="T T T"
Sc 0.777 1.720 2.951
Sc 0.777 1.720 0.118
Sc 0.706 4.344 1.534
Sc 2.347 4.512 4.603
Sc 2.277 7.136 6.019
Sc 2.277 7.136 3.187
C 2.394 2.721 1.534
C 0.659 6.134 4.603
S 2.451 0.604 4.603
S 0.603 8.251 1.534
```

Summary:
The density of states at the Fermi level comes out at 7.8 states/eV per cell. The calculated volume comes out at 177.0 Å³ per cell.



ii | DFT (PBE-GGA) results for crystalline Sc3CS at its relaxed geometry.

Geometry as extended XYZ:
```
5
Lattice="4.438 0.000 0.000 0.000 4.438 0.000 0.000 0.000 4.438" Properties=species:S:1:pos:R:3 pbc="T T T"
Sc 0.000 0.000 2.219
Sc 0.000 2.219 0.000
Sc 2.219 0.000 0.000
S 2.219 2.219 2.219
C 0.000 0.000 0.000
```

Summary:
The density of states at the Fermi level comes out at 4.7 states/eV per cell. The calculated volume comes out at 87.4 Å³ per cell.



Which of them is most stable, and which least? Most stable: i; least stable: ii.



i | DFT (PBE-GGA) results for crystalline Sc2C2S at its relaxed geometry.

Geometry as extended XYZ:
```
10
Lattice="-2.345 2.717 5.513 -6.088 -0.216 -2.482 -0.433 -3.070 1.329" Properties=species:S:1:pos:R:3 pbc="T T T"
Sc -6.069 2.076 2.818
Sc -2.363 0.425 0.212
Sc -5.727 0.688 -0.277
Sc -2.705 1.813 3.307
C -1.662 -0.390 2.837
C -3.876 -1.460 -0.356
C -7.203 -0.178 1.522
C -4.989 0.892 4.715
S 0.000 0.000 0.000
S -4.216 1.250 1.515
```

Summary:
The density of states at the Fermi level comes out at 6.2 states/eV per cell. The calculated volume comes out at 145.9 Å³ per cell.



ii | DFT (PBE-GGA) results for crystalline Sc2C2S at its relaxed geometry.

Geometry as extended XYZ:
```
5
Lattice="-1.632 2.074 -1.902 -2.004 -2.400 -0.898 -5.729 1.264 3.512" Properties=species:S:1:pos:R:3 pbc="T T T"
S 0.000 0.000 0.000
Sc -6.539 0.734 0.847
Sc -2.825 0.205 -0.135
C -4.589 1.588 0.105
C -4.775 -0.649 0.607
```

Summary:
The density of states at the Fermi level comes out at 0.0 states/eV per cell. The calculated volume comes out at 68.1 Å³ per cell.



Which of them is most stable, and which least? Most stable: i; least stable: ii.



i | DFT (PBE-GGA) results for crystalline ScCS3 at its relaxed geometry.

Geometry as extended XYZ:
```
5
Lattice="4.931 0.000 0.000 0.000 4.931 0.000 0.000 0.000 4.931" Properties=species:S:1:pos:R:3 pbc="T T T"
C 2.466 2.466 2.466
S 0.000 2.466 0.000
S 0.000 0.000 2.466
S 2.466 0.000 0.000
Sc 0.000 0.000 0.000
```

Summary:
The density of states at the Fermi level comes out at 6.0 states/eV per cell. The calculated volume comes out at 119.9 Å³ per cell.



ii | DFT (PBE-GGA) results for crystalline ScCS3 at its relaxed geometry.

Geometry as extended XYZ:
```
5
Lattice="4.175 0.000 0.000 0.000 4.175 0.000 0.000 0.000 4.175" Properties=species:S:1:pos:R:3 pbc="T T T"
S 0.000 0.000 2.087
S 2.087 0.000 0.000
S 0.000 2.087 0.000
C 0.000 0.000 0.000
Sc 2.087 2.087 2.087
```

Summary:
The density of states at the Fermi level comes out at 1.8 states/eV per cell. The calculated volume comes out at 72.7 Å³ per cell.



Which of them is most stable, and which least? Most stable: ii; least stable: i.



i | DFT (PBE-GGA) results for crystalline CSe2S at its relaxed geometry.

Geometry as extended XYZ:
```
4
Lattice="1.925 0.000 7.404 -0.963 1.667 7.404 -0.963 -1.667 7.404" Properties=species:S:1:pos:R:3 pbc="T T T"
Se 0.000 0.000 2.340
Se 0.000 0.000 19.873
S 0.000 0.000 0.000
C 0.000 0.000 11.107
```

Summary:
The density of states at the Fermi level comes out at 2.5 states/eV per cell. The calculated volume comes out at 71.3 Å³ per cell.



ii | DFT (PBE-GGA) results for crystalline CSe2S at its relaxed geometry.

Geometry as extended XYZ:
```
8
Lattice="-2.520 -2.532 5.055 -2.279 -4.610 -3.445 0.779 -5.576 1.385" Properties=species:S:1:pos:R:3 pbc="T T T"
S -2.070 -5.839 3.622
S 0.000 0.000 0.000
Se -1.472 -3.358 2.687
Se -1.390 -7.214 1.378
Se -1.738 -4.786 -0.787
Se -3.440 -10.077 2.712
C -1.950 -6.878 -0.628
C -2.400 -3.571 0.805
```

Summary:
The density of states at the Fermi level comes out at 3.5 states/eV per cell. The calculated volume comes out at 145.7 Å³ per cell.



iii | DFT (PBE-GGA) results for crystalline CSe2S at its relaxed geometry.

Geometry as extended XYZ:
```
4
Lattice="-2.165 1.245 3.682 -3.151 3.133 -0.224 -4.275 -1.102 0.547" Properties=species:S:1:pos:R:3 pbc="T T T"
S -4.795 1.638 2.002
Se -7.193 2.457 3.003
Se -2.398 0.819 1.001
C 0.000 0.000 0.000
```

Summary:
The density of states at the Fermi level comes out at 2.8 states/eV per cell. The calculated volume comes out at 62.3 Å³ per cell.



Which of them is most stable, and which least? Most stable: ii; least stable: iii.



i | DFT (PBE-GGA) results for crystalline SiC2S at its relaxed geometry.

Geometry as extended XYZ:
```
8
Lattice="-3.598 0.001 -2.791 1.249 -4.072 -1.612 -3.650 -4.058 0.989" Properties=species:S:1:pos:R:3 pbc="T T T"
C -3.572 -4.721 -0.969
C -0.715 -3.559 -1.212
C -2.872 -1.523 -1.595
C -4.839 -6.454 -3.051
Si -1.174 -2.035 -2.201
Si -1.788 -5.082 -1.412
S -4.211 -3.046 -2.002
S 0.000 0.000 0.000
```

Summary:
The density of states at the Fermi level comes out at 2.5 states/eV per cell. The calculated volume comes out at 93.7 Å³ per cell.



ii | DFT (PBE-GGA) results for crystalline SiC2S at its relaxed geometry.

Geometry as extended XYZ:
```
4
Lattice="0.000 2.708 2.708 2.708 0.000 2.708 2.708 2.708 0.000" Properties=species:S:1:pos:R:3 pbc="T T T"
S 2.708 2.708 2.708
Si 0.000 0.000 0.000
C 1.354 1.354 1.354
C 4.062 4.062 4.062
```

Summary:
The density of states at the Fermi level comes out at 1.6 states/eV per cell. The calculated volume comes out at 39.7 Å³ per cell.



Which of them is most stable, and which least? Most stable: i; least stable: ii.



i | DFT (PBE-GGA) results for crystalline SiCS at its relaxed geometry.

Geometry as extended XYZ:
```
9
Lattice="-0.361 2.269 -2.264 0.145 -3.110 -0.842 -12.087 -0.853 1.070" Properties=species:S:1:pos:R:3 pbc="T T T"
Si -5.638 -1.714 -0.819
Si -1.777 0.364 -1.650
Si -9.643 -0.681 0.854
C -6.537 0.028 -1.229
C -2.316 -0.163 0.205
C -10.397 -2.050 -0.398
S -8.330 -0.099 -1.070
S -4.109 -0.290 0.364
S -0.103 -1.323 -1.309
```

Summary:
The density of states at the Fermi level comes out at 1.0 states/eV per cell. The calculated volume comes out at 109.6 Å³ per cell.



ii | DFT (PBE-GGA) results for crystalline SiCS at its relaxed geometry.

Geometry as extended XYZ:
```
3
Lattice="2.726 0.000 0.000 0.000 3.071 0.000 0.000 0.000 6.136" Properties=species:S:1:pos:R:3 pbc="T T T"
Si 0.000 1.535 2.888
C 0.000 0.000 4.156
S 1.363 0.000 5.302
```

Summary:
The density of states at the Fermi level comes out at 1.6 states/eV per cell. The calculated volume comes out at 51.4 Å³ per cell.



Which of them is most stable, and which least? Most stable: i; least stable: ii.